Record 1
{
  "formula": "KCdRu3",
  "functional": "meta-GGA SCAN",
  "state": "PBEsol geometry",
  "cell": [[4.972, 0.000, 0.000], [0.000, 4.972, 0.000], [0.000, 0.000, 4.972]],
  "species": ["Ru", "Ru", "Ru", "K", "Cd"],
  "fractional_positions": [[0.000, 0.500, 0.000], [0.000, 0.000, 0.500], [0.500, 0.000, 0.000], [0.500, 0.500, 0.500], [0.000, 0.000, 0.000]]
}

=====

Record 2
{
  "formula": "Sr2AlAs",
  "functional": "meta-GGA SCAN",
  "state": "PBEsol geometry",
  "cell": [[4.447, 0.000, 0.000], [2.223, 3.851, 0.000], [2.223, 1.284, 7.993]],
  "species": ["Sr", "Sr", "As", "Al"],
  "fractional_positions": [[0.266, 0.266, 0.201], [0.734, 0.734, 0.799], [0.000, 0.000, 0.000], [0.500, 0.500, 0.500]],
  "e_above_lowest_polymorph_kj_per_mol_fu": 0
}

=====

DOS(E_F) / states/eV per cell: 6.28; 2.66
ΔH_f (0 K) / eV/atom: 2.079; -0.447
Energy / eV per cell: -132.825; -74.281